Record 1
DFT (PBE) results for a relaxed structure of La4Tb3Pm2.

Results
SG	No. 2
energy of formation	0.022	eV per atom

Cell: 6.336 6.339 13.153 Å, 118.52 103.76 120.09°
Fractional coordinates of all 9 atoms:
Tb  0.556  0.113  0.666
Tb  0.444  0.887  0.334
Tb  0.000  0.000  0.000
Pm  0.220  0.441  0.666
Pm  0.780  0.559  0.334
La  0.115  0.226  0.334
La  0.885  0.774  0.666
La  0.334  0.664  0.000
La  0.666  0.336  0.000

---

Record 2
DFT (PBE) results for a relaxed structure of La2Tb4Pm7.

Results
SG	No. 2
energy of formation	0.017	eV per atom

Cell: 8.149 11.505 10.927 Å, 71.58 121.33 148.13°
Fractional coordinates of all 13 atoms:
Pm  0.848  0.770  0.464
Pm  0.924  0.385  0.232
Pm  0.152  0.230  0.536
Pm  0.000  0.000  0.000
Pm  0.232  0.845  0.311
Pm  0.768  0.155  0.689
Pm  0.076  0.615  0.768
Tb  0.383  0.076  0.844
Tb  0.617  0.924  0.156
Tb  0.462  0.693  0.615
Tb  0.538  0.307  0.385
La  0.693  0.539  0.923
La  0.307  0.461  0.077

---

Record 3
DFT (PBE) results for a relaxed structure of La10Tb4Pm.

Results
SG	No. 139
energy of formation	0.199	eV per atom

Cell: 7.973 9.127 9.127 Å, 79.00 64.10 64.10°
Fractional coordinates of all 15 atoms:
La  0.750  0.500  0.500
La  0.073  0.217  0.218
La  0.291  0.782  0.217
La  0.709  0.218  0.783
La  0.927  0.783  0.782
La  0.509  0.783  0.782
La  0.291  0.218  0.783
La  0.491  0.217  0.218
La  0.250  0.500  0.500
La  0.709  0.782  0.217
Tb  0.228  0.000  0.543
Tb  0.229  0.543  0.000
Tb  0.771  0.457  0.000
Tb  0.772  0.000  0.457
Pm  0.000  0.000  0.000

---

Record 4
DFT (PBE) results for a relaxed structure of La2TbPm9.

Results
SG	No. 123
energy of formation	0.018	eV per atom

Cell: 5.173 5.173 15.542 Å, 90.00 90.00 90.00°
Fractional coordinates of all 12 atoms:
Tb  0.000  0.000  0.000
Pm  0.500  0.000  0.164
Pm  0.500  0.000  0.836
Pm  0.000  0.500  0.500
Pm  0.500  0.500  0.000
Pm  0.500  0.000  0.500
Pm  0.000  0.500  0.164
Pm  0.000  0.500  0.836
Pm  0.500  0.500  0.668
Pm  0.500  0.500  0.332
La  0.000  0.000  0.667
La  0.000  0.000  0.333

---

Record 5
DFT (PBE) results for a relaxed structure of La3Tb3Pm.

Results
SG	No. 148
energy of formation	0.127	eV per atom

Cell: 8.368 8.368 8.368 Å, 69.46 69.46 69.46°
Fractional coordinates of all 14 atoms:
Tb  0.975  0.690  0.554
Tb  0.690  0.554  0.975
Tb  0.554  0.975  0.690
Tb  0.025  0.310  0.446
Tb  0.310  0.446  0.025
Tb  0.446  0.025  0.310
Pm  0.409  0.409  0.409
Pm  0.591  0.591  0.591
La  0.165  0.873  0.730
La  0.835  0.127  0.270
La  0.127  0.270  0.835
La  0.730  0.165  0.873
La  0.873  0.730  0.165
La  0.270  0.835  0.127

---

Record 6
DFT (PBE) results for a relaxed structure of La8TbPm4.

Results
SG	No. 166
energy of formation	0.361	eV per atom

Cell: 11.922 11.922 7.953 Å, 90.00 138.55 120.00°
Fractional coordinates of all 13 atoms:
Tb  0.000  0.500  0.500
La  0.477  0.238  0.715
La  0.341  0.170  0.013
La  0.157  0.829  0.987
La  0.659  0.830  0.987
La  0.843  0.672  0.013
La  0.843  0.171  0.013
La  0.523  0.762  0.285
La  0.157  0.328  0.987
Pm  0.500  0.500  0.000
Pm  0.000  0.000  0.000
Pm  0.500  0.000  0.000
Pm  0.000  0.500  0.000

---

Record 7
DFT (PBE) results for a relaxed structure of LaTb2Pm6.

Results
SG	No. 2
energy of formation	0.017	eV per atom

Cell: 3.650 8.928 13.101 Å, 132.63 81.92 90.11°
Fractional coordinates of all 9 atoms:
Pm  0.111  0.444  0.779
Pm  0.332  0.336  0.335
Pm  0.221  0.893  0.557
Pm  0.779  0.107  0.443
Pm  0.668  0.664  0.665
Pm  0.889  0.556  0.221
Tb  0.556  0.224  0.889
Tb  0.444  0.776  0.111
La  0.000  0.000  0.000

---

Record 8
DFT (PBE) results for a relaxed structure of LaTb5Pm4.

Results
SG	No. 123
energy of formation	0.017	eV per atom

Cell: 3.632 3.632 25.386 Å, 90.00 90.00 90.00°
Fractional coordinates of all 10 atoms:
Pm  0.000  0.000  0.400
Pm  0.000  0.000  0.799
Pm  0.000  0.000  0.201
Pm  0.000  0.000  0.600
Tb  0.500  0.500  0.500
Tb  0.500  0.500  0.301
Tb  0.500  0.500  0.699
Tb  0.500  0.500  0.898
Tb  0.500  0.500  0.102
La  0.000  0.000  0.000

---

Record 9
DFT (PBE) results for a relaxed structure of La3Tb3Pm.

Results
SG	No. 176
energy of formation	0.037	eV per atom

Cell: 5.869 9.817 9.817 Å, 120.00 90.00 90.00°
Fractional coordinates of all 14 atoms:
Tb  0.250  0.954  0.768
Tb  0.250  0.232  0.186
Tb  0.750  0.768  0.814
Tb  0.750  0.046  0.232
Tb  0.250  0.814  0.046
Tb  0.750  0.186  0.954
La  0.250  0.376  0.903
La  0.750  0.473  0.376
La  0.750  0.624  0.097
La  0.750  0.903  0.527
La  0.250  0.097  0.473
La  0.250  0.527  0.624
Pm  0.750  0.333  0.667
Pm  0.250  0.667  0.333

---

Record 10
DFT (PBE) results for a relaxed structure of LaTbPm.

Results
SG	No. 51
energy of formation	0.158	eV per atom

Cell: 3.502 9.029 6.587 Å, 90.00 90.00 90.00°
Fractional coordinates of all 6 atoms:
Tb  0.000  0.500  0.500
Tb  0.000  0.500  0.000
Pm  0.500  0.800  0.750
Pm  0.500  0.200  0.250
La  0.000  0.847  0.250
La  0.000  0.153  0.750

---

Record 11
DFT (PBE) results for a relaxed structure of La2Tb6Pm.

Results
SG	No. 71
energy of formation	0.192	eV per atom

Cell: 10.259 10.259 10.259 Å, 160.79 120.20 63.43°
Fractional coordinates of all 9 atoms:
Tb  0.647  0.833  0.814
Tb  0.980  0.167  0.814
Tb  0.353  0.167  0.186
Tb  0.020  0.833  0.186
Tb  0.308  0.500  0.808
Tb  0.692  0.500  0.192
La  0.666  0.666  0.000
La  0.334  0.334  0.000
Pm  0.000  0.000  0.000

---

Record 12
DFT (PBE) results for a relaxed structure of La7Tb2Pm2.

Results
SG	No. 12
energy of formation	0.113	eV per atom

Cell: 8.955 6.247 8.955 Å, 62.57 98.87 117.43°
Fractional coordinates of all 11 atoms:
La  0.046  0.811  0.416
La  0.000  0.000  0.000
La  0.425  0.652  0.575
La  0.416  0.189  0.046
La  0.584  0.811  0.954
La  0.575  0.348  0.425
La  0.954  0.189  0.584
Tb  0.787  0.500  0.787
Tb  0.213  0.500  0.213
Pm  0.227  0.862  0.773
Pm  0.773  0.138  0.227

---

Record 13
DFT (PBE) results for a relaxed structure of La5Tb2Pm2.

Results
SG	No. 2
energy of formation	0.020	eV per atom

Cell: 6.392 3.696 18.717 Å, 126.35 96.50 106.63°
Fractional coordinates of all 9 atoms:
La  0.222  0.448  0.445
La  0.440  0.878  0.887
La  0.000  0.000  0.000
La  0.560  0.122  0.113
La  0.778  0.552  0.555
Tb  0.334  0.665  0.666
Tb  0.666  0.335  0.334
Pm  0.119  0.235  0.225
Pm  0.881  0.765  0.775

---

Record 14
DFT (PBE) results for a relaxed structure of La3Tb2Pm3.

Results
SG	No. 71
energy of formation	0.021	eV per atom

Cell: 5.174 5.195 10.986 Å, 103.68 103.62 90.00°
Fractional coordinates of all 8 atoms:
La  0.374  0.374  0.747
La  0.500  0.000  0.000
La  0.626  0.626  0.253
Tb  0.251  0.751  0.502
Tb  0.749  0.249  0.498
Pm  0.128  0.128  0.257
Pm  0.872  0.872  0.743
Pm  0.000  0.500  0.000

---

Record 15
DFT (PBE) results for a relaxed structure of LaTb5Pm8.

Results
SG	No. 82
energy of formation	0.228	eV per atom

Cell: 8.582 8.582 8.582 Å, 111.82 104.87 111.82°
Fractional coordinates of all 14 atoms:
Pm  0.677  0.395  0.928
Pm  0.926  0.094  0.663
Pm  0.168  0.737  0.074
Pm  0.718  0.251  0.323
Pm  0.533  0.605  0.282
Pm  0.072  0.749  0.467
Pm  0.569  0.906  0.832
Pm  0.337  0.263  0.431
La  0.250  0.500  0.750
Tb  0.278  0.096  0.961
Tb  0.500  0.000  0.500
Tb  0.865  0.904  0.182
Tb  0.039  0.317  0.135
Tb  0.818  0.683  0.722

---

Record 16
DFT (PBE) results for a relaxed structure of La4Tb9Pm11.

Results
SG	No. 65
energy of formation	0.071	eV per atom

Cell: 3.745 15.407 15.407 Å, 112.55 90.00 90.00°
Fractional coordinates of all 24 atoms:
Pm  0.000  0.158  0.842
Pm  0.000  0.364  0.636
Pm  0.000  0.407  0.045
Pm  0.000  0.288  0.288
Pm  0.000  0.955  0.593
Pm  0.000  0.045  0.407
Pm  0.000  0.000  0.000
Pm  0.000  0.593  0.955
Pm  0.000  0.712  0.712
Pm  0.000  0.636  0.364
Pm  0.000  0.842  0.158
La  0.500  0.245  0.446
La  0.500  0.554  0.755
La  0.500  0.755  0.554
La  0.500  0.446  0.245
Tb  0.500  0.935  0.790
Tb  0.500  0.065  0.210
Tb  0.500  0.790  0.935
Tb  0.500  0.210  0.065
Tb  0.500  0.162  0.636
Tb  0.500  0.838  0.364
Tb  0.500  0.364  0.838
Tb  0.500  0.636  0.162
Tb  0.500  0.500  0.500

---

Record 17
DFT (PBE) results for a relaxed structure of La5Tb3Pm3.

Results
SG	No. 189
energy of formation	0.283	eV per atom

Cell: 3.493 11.502 11.502 Å, 120.00 90.00 90.00°
Fractional coordinates of all 11 atoms:
Tb  0.500  0.841  0.000
Tb  0.500  0.000  0.841
Tb  0.500  0.159  0.159
La  0.500  0.333  0.667
La  0.500  0.000  0.338
La  0.500  0.662  0.662
La  0.500  0.338  0.000
La  0.500  0.667  0.333
Pm  0.000  0.599  0.000
Pm  0.000  0.401  0.401
Pm  0.000  0.000  0.599

---

Record 18
DFT (PBE) results for a relaxed structure of La5TbPm2.

Results
SG	No. 63
energy of formation	0.106	eV per atom

Cell: 5.730 6.737 16.687 Å, 90.00 90.00 115.17°
Fractional coordinates of all 16 atoms:
La  0.923  0.846  0.907
La  0.614  0.229  0.947
La  0.467  0.933  0.750
La  0.923  0.846  0.593
La  0.077  0.154  0.093
La  0.386  0.771  0.447
La  0.533  0.067  0.250
La  0.077  0.154  0.407
La  0.386  0.771  0.053
La  0.614  0.229  0.553
Tb  0.251  0.502  0.250
Tb  0.749  0.498  0.750
Pm  0.225  0.450  0.634
Pm  0.225  0.450  0.866
Pm  0.775  0.550  0.366
Pm  0.775  0.550  0.134

---

Record 19
DFT (PBE) results for a relaxed structure of La7Tb2Pm3.

Results
SG	No. 10
energy of formation	0.084	eV per atom

Cell: 3.645 6.018 20.061 Å, 103.81 90.00 90.00°
Fractional coordinates of all 12 atoms:
La  0.500  0.991  0.817
La  0.000  0.475  0.147
La  0.000  0.000  0.000
La  0.500  0.276  0.534
La  0.500  0.724  0.466
La  0.000  0.525  0.853
La  0.500  0.009  0.183
Pm  0.000  0.148  0.364
Pm  0.000  0.852  0.636
Pm  0.500  0.500  0.000
Tb  0.500  0.407  0.702
Tb  0.500  0.593  0.298

---

Record 20
DFT (PBE) results for a relaxed structure of La7TbPm4.

Results
SG	No. 12
energy of formation	0.196	eV per atom

Cell: 6.153 9.937 8.877 Å, 60.48 69.72 71.97°
Fractional coordinates of all 12 atoms:
La  0.918  0.433  0.730
La  0.207  0.782  0.804
La  0.794  0.874  0.538
La  0.500  0.000  0.000
La  0.793  0.218  0.196
La  0.082  0.567  0.270
La  0.206  0.126  0.462
Pm  0.426  0.700  0.447
Pm  0.672  0.605  0.050
Pm  0.574  0.300  0.553
Pm  0.328  0.395  0.950
Tb  0.000  0.000  0.000